Computed, not measured: a relaxed structure of LaMoO3 at the PBE with a Hubbard U level of DFT.

Calculated total energy: -7.64 eV per atom

Cell and atoms, written as CIF:
```
data_LaMoO3
_symmetry_space_group_name_H-M 'P 1 21/m 1'
_symmetry_Int_Tables_number 11
_symmetry_space_group_name_Hall '-P 2yb'
_cell_length_a 6.115
_cell_length_b 4.031
_cell_length_c 6.769
_cell_angle_alpha 90.00
_cell_angle_beta 104.94
_cell_angle_gamma 90.00
loop_
_atom_site_label
_atom_site_type_symbol
_atom_site_fract_x
_atom_site_fract_y
_atom_site_fract_z
La1 La 0.040 0.250 0.254
Mo1 Mo 0.495 0.250 0.759
O1 O 0.158 0.250 0.636
O2 O 0.165 0.750 0.107
O3 O 0.465 0.250 0.270
```